No. 1
Below is an optimized crystal structure of Li8FeO4F2, with properties calculated at the PBEsol level.

a b c (Å): 5.337 5.496 10.830
angles (deg): 78.09 86.65 64.28
Space group P-1 (No. 2)
One atom of each set of equivalent atoms:
Li 0.045 0.227 0.335 x2
Li 0.088 0.924 0.162 x2
Li 0.260 0.365 0.810 x2
Li 0.280 0.059 0.683 x2
Li 0.280 0.656 0.955 x2
Li 0.366 0.306 0.183 x2
Li 0.421 0.541 0.324 x2
Li 0.436 0.836 0.468 x2
Fe 0.000 0.500 0.500 x1
Fe 0.500 0.000 0.000 x1
O 0.258 0.435 0.624 x2
O 0.296 0.999 0.866 x2
O 0.391 0.209 0.373 x2
O 0.419 0.646 0.119 x2
F 0.021 0.305 0.154 x2
F 0.103 0.861 0.354 x2

## Properties
* E_form (uncorrected): -1953.5 meV/atom
* calculated density: 2532 kg/m3
* N(E_F): 0.0434 states/eV/atom

***

No. 2
Below is an optimized crystal structure of LaPr3, with properties calculated at the PBEsol level.

a b c (Å): 5.146 5.146 10.263
angles (deg): 90.00 90.00 90.00
Space group I4/mmm (No. 139)
One atom of each set of equivalent atoms:
La 0.000 0.000 0.000 x2
Pr 0.000 0.000 0.500 x2
Pr 0.000 0.500 0.250 x4

## Properties
* energy relative to the elements: 9 meV per atom
* calculated density: 6864 kg/m3
* N(E_F): 1.6846 states/eV/atom

***

No. 3
Below is an optimized crystal structure of Mg2CoOs, with properties calculated at the PBEsol level.

a b c (Å): 2.7672 2.7672 26.2251
angles (deg): 90.00 90.00 120.00
Space group R-3m (No. 166, hexagonal axes)
One atom of each set of equivalent atoms:
Mg 0.0000 0.0000 0.2468 x6
Co 0.0000 0.0000 0.5000 x3
Os 0.0000 0.0000 0.0000 x3

## Properties
* energy relative to the elements: 335 meV per atom
* offset from the most stable computed form: 58 meV/atom
* calculated density: 8529 kg/m3
* N(E_F): 1.0895 states/eV/atom

***

No. 4
Below is an optimized crystal structure of NaSr2Nb5O15, with properties calculated at the PBEsol level.

a b c (Å): 17.692 17.731 4.013
angles (deg): 90.00 90.00 90.00
Space group Cmm2 (No. 35)
One atom of each set of equivalent atoms:
Na 0.000 0.165 0.000 x4
Sr 0.168 0.500 0.140 x4
Sr 0.250 0.250 0.154 x4
Nb 0.000 0.000 0.619 x2
Nb 0.000 0.500 0.645 x2
Nb 0.106 0.315 0.646 x8
Nb 0.184 0.105 0.647 x8
O 0.000 0.000 0.165 x2
O 0.000 0.281 0.694 x4
O 0.000 0.500 0.181 x2
O 0.078 0.079 0.687 x8
O 0.084 0.426 0.694 x8
O 0.112 0.314 0.181 x8
O 0.149 0.212 0.690 x8
O 0.195 0.105 0.179 x8
O 0.214 0.348 0.690 x8
O 0.231 0.000 0.681 x4

## Properties
* E_form (uncorrected): -2652.0 meV/atom
* calculated density: 4764 kg/m3
* N(E_F): 0.0000 states/eV/atom

***

No. 5
Below is an optimized crystal structure of TaCdPt4, with properties calculated at the PBEsol level.

a b c (Å): 7.351 7.351 7.351
angles (deg): 90.00 90.00 90.00
Space group F-43m (No. 216)
One atom of each set of equivalent atoms:
Ta 0.000 0.000 0.000 x4
Cd 0.250 0.250 0.750 x4
Pt 0.125 0.125 0.375 x16

## Properties
* energy relative to the elements: -177 meV per atom
* calculated density: 17956 kg/m3
* N(E_F): 0.6324 states/eV/atom

***

No. 6
Below is an optimized crystal structure of SrZnPb2, with properties calculated at the PBEsol level.

a b c (Å): 3.7508 3.7508 28.4481
angles (deg): 90.00 90.00 120.00
Space group R-3m (No. 166, hexagonal axes)
One atom of each set of equivalent atoms:
Sr 0.0000 0.0000 0.0000 x3
Zn 0.0000 0.0000 0.5000 x3
Pb 0.0000 0.0000 0.2362 x6

## Properties
* energy relative to the elements: -7 meV per atom
* calculated density: 8155 kg/m3
* N(E_F): 0.5219 states/eV/atom

***

No. 7
Below is an optimized crystal structure of Mg2AlIn, with properties calculated at the PBEsol level.

a b c (Å): 4.321 4.321 8.933
angles (deg): 90.00 90.00 90.00
Space group I-4m2 (No. 119)
One atom of each set of equivalent atoms:
Mg 0.000 0.000 0.000 x2
Mg 0.000 0.500 0.250 x2
Al 0.000 0.000 0.500 x2
In 0.000 0.500 0.750 x2

## Properties
* energy relative to the elements: -26 meV per atom
* calculated density: 3792 kg/m3
* N(E_F): 0.4078 states/eV/atom

***

No. 8
Below is an optimized crystal structure of Be5Tc, with properties calculated at the PBEsol level.

a b c (Å): 3.260 10.190 3.242
angles (deg): 90.00 90.00 90.00
Space group Cmmm (No. 65)
One atom of each set of equivalent atoms:
Be 0.000 0.000 0.000 x2
Be 0.000 0.177 0.500 x4
Be 0.000 0.328 0.000 x4
Tc 0.000 0.500 0.500 x2

## Properties
* energy relative to the elements: -135 meV per atom
* offset from the most stable computed form: 4 meV/atom
* calculated density: 4412 kg/m3
* N(E_F): 0.2122 states/eV/atom

***

No. 9
Below is an optimized crystal structure of ScHgWC2, with properties calculated at the PBEsol level.

a b c (Å): 4.127 4.127 5.104
angles (deg): 90.00 90.00 90.00
Space group P4/mmm (No. 123)
One atom of each set of equivalent atoms:
Sc 0.000 0.000 0.000 x1
Hg 0.500 0.500 0.500 x1
W 0.000 0.000 0.500 x1
C 0.000 0.500 0.000 x2

## Properties
* energy relative to the elements: 2542 meV per atom
* calculated density: 8663 kg/m3
* N(E_F): 0.8373 states/eV/atom

***

No. 10
Below is an optimized crystal structure of CoIr4, with properties calculated at the PBEsol level.

a b c (Å): 5.960 5.960 3.764
angles (deg): 90.00 90.00 90.00
Space group I4/m (No. 87)
One atom of each set of equivalent atoms:
Co 0.000 0.000 0.000 x2
Ir 0.102 0.297 0.500 x8

## Properties
* energy relative to the elements: 8 meV per atom
* calculated density: 20560 kg/m3
* N(E_F): 1.1293 states/eV/atom

***

No. 11
Below is an optimized crystal structure of Sn3Pb, with properties calculated at the PBEsol level.

a b c (Å): 6.8299 6.8299 5.3428
angles (deg): 90.00 90.00 120.00
Space group P6_3/mmc (No. 194)
One atom of each set of equivalent atoms:
Sn 0.1629 0.3258 0.2500 x6
Pb 0.3333 0.6667 0.7500 x2

## Properties
* energy relative to the elements: 34 meV per atom
* calculated density: 8668 kg/m3
* N(E_F): 0.4977 states/eV/atom

***

No. 12
Below is an optimized crystal structure of YMo2W, with properties calculated at the PBEsol level.

a b c (Å): 3.208 4.849 9.042
angles (deg): 90.00 90.00 90.00
Space group Immm (No. 71)
One atom of each set of equivalent atoms:
Y 0.000 0.000 0.000 x2
Mo 0.000 0.500 0.234 x4
W 0.000 0.000 0.500 x2

## Properties
* energy relative to the elements: 429 meV per atom
* offset from the most stable computed form: 102 meV/atom
* calculated density: 10970 kg/m3
* N(E_F): 0.9982 states/eV/atom

***

One value per record, in order, for total magnetization: 8.0; 0.0; 3.8; 0.0; 0.0; 0.0; 0.0; 0.0; 0.8; 2.8; 0.0; 0.0 μB/cell.